1.
Crystalline LiVCo3 at its relaxed geometry, computed with PBE.

Summary:
Space group: Pm-3m, No. 221
Energy above the most stable polymorph in this dataset: 0 meV/atom

POSCAR file:
```
LiVCo3
1.0
3.827 0.000 0.000
0.000 3.827 0.000
0.000 0.000 3.827
Li V Co
1 1 3
Cartesian
0.000 0.000 0.000
1.914 1.914 1.914
0.000 0.000 1.914
0.000 1.914 0.000
1.914 0.000 0.000
```



2.
Crystalline LiVCo3 at its relaxed geometry, computed with PBE.

Summary:
Space group: Pm-3m, No. 221
Energy above the most stable polymorph in this dataset: 164 meV/atom

POSCAR file:
```
LiVCo3
1.0
4.248 0.000 0.000
0.000 4.248 0.000
0.000 0.000 4.248
Li V Co
1 1 3
Cartesian
0.000 0.000 0.000
2.124 2.124 2.124
0.000 2.124 2.124
2.124 0.000 2.124
2.124 2.124 0.000
```



3.
Crystalline LiVCo2 at its relaxed geometry, computed with PBE.

Summary:
Space group: P4/mmm, No. 123

POSCAR file:
```
LiVCo2
1.0
3.873 0.000 0.000
0.000 3.873 0.000
0.000 0.000 2.940
Li V Co
1 1 2
Cartesian
0.000 0.000 0.000
1.936 1.936 0.000
0.000 1.936 1.470
1.936 0.000 1.470
```



4.
Crystalline LiVCo2 at its relaxed geometry, computed with PBE.

Summary:
Space group: P4/mmm, No. 123

POSCAR file:
```
LiVCo2
1.0
2.870 0.000 0.000
0.000 2.870 0.000
0.000 0.000 5.507
Li V Co
1 1 2
Cartesian
0.000 0.000 0.000
0.000 0.000 2.754
1.435 1.435 1.429
1.435 1.435 4.078
```



Result set for formation enthalpy at 0 K: 17.7, 21.5, 0.7, -0.2 kcal/mol of atoms, one per record in the order listed.
Result set for calculated total energy: -28.51, -27.69, -25.12, -25.27 eV/cell, one per record in the order listed.